VASP calculation (GGA-PBE) on a geometry-optimized YCo2Pb structure.

## Properties
**Theoretical density**: 9.07 g cm⁻³
**Formation enthalpy at 0 K**: 0.321 eV per atom

Lattice parameters (Å, degrees): 4.7505 4.7505 4.7505 60.00 60.00 60.00
Last column: magnetic moment on the atom in μB.
Atoms (fractional coordinates):
1 Y 0.2500 0.2500 0.2500  -0.07
2 Co 0.0000 0.0000 0.0000  1.74
3 Co 0.7500 0.7500 0.7500  1.54
4 Pb 0.5000 0.5000 0.5000  0.03